# 1
A plane-wave DFT calculation with PBE was carried out for a geometry-optimized SrCoI structure.

Calculated values
The crystal system is monoclinic. The space group is Cm, No. 8. The calculation puts the volume at 198 Å³ per cell.

```
data_SrCoI
_chemical_formula_sum 'Sr2 Co2 I2'
_cell_length_a 6.128
_cell_length_b 6.128
_cell_length_c 9.155
_cell_angle_alpha 113.13
_cell_angle_beta 113.13
_cell_angle_gamma 39.23
_symmetry_space_group_name_H-M 'P 1'
_symmetry_Int_Tables_number 1
_symmetry_space_group_name_Hall 'P 1'
loop_
_atom_site_label
_atom_site_type_symbol
_atom_site_fract_x
_atom_site_fract_y
_atom_site_fract_z
Sr1 Sr 0.000 0.000 0.000
Sr2 Sr 0.154 0.154 0.646
Co1 Co 0.282 0.282 0.024
Co2 Co 0.704 0.704 0.931
I1 I 0.490 0.490 0.296
I2 I 0.858 0.858 0.598
```

---

# 2
A plane-wave DFT calculation with PBE was carried out for a geometry-optimized SrTaCo2I structure.

Calculated values
The crystal system is tetragonal. The space group is P4/mmm, No. 123. The calculation puts the volume at 122 Å³ per cell.

```
data_SrTaCo2I
_chemical_formula_sum 'Sr1 Ta1 Co2 I1'
_cell_length_a 4.649
_cell_length_b 4.649
_cell_length_c 5.624
_cell_angle_alpha 90.00
_cell_angle_beta 90.00
_cell_angle_gamma 90.00
_symmetry_space_group_name_H-M 'P 1'
_symmetry_Int_Tables_number 1
_symmetry_space_group_name_Hall 'P 1'
loop_
_atom_site_label
_atom_site_type_symbol
_atom_site_fract_x
_atom_site_fract_y
_atom_site_fract_z
Sr1 Sr 0.000 0.000 0.000
Ta1 Ta 0.500 0.500 0.500
Co1 Co 0.000 0.500 0.500
Co2 Co 0.500 0.000 0.500
I1 I 0.500 0.500 0.000
```

---

# 3
A plane-wave DFT calculation with PBE was carried out for a geometry-optimized SrCoTe2I structure.

Calculated values
The crystal system is tetragonal. The space group is P4/mmm, No. 123. The calculation puts the volume at 149 Å³ per cell.

```
data_SrCoTe2I
_chemical_formula_sum 'Sr1 Co1 Te2 I1'
_cell_length_a 5.150
_cell_length_b 5.150
_cell_length_c 5.634
_cell_angle_alpha 90.00
_cell_angle_beta 90.00
_cell_angle_gamma 90.00
_symmetry_space_group_name_H-M 'P 1'
_symmetry_Int_Tables_number 1
_symmetry_space_group_name_Hall 'P 1'
loop_
_atom_site_label
_atom_site_type_symbol
_atom_site_fract_x
_atom_site_fract_y
_atom_site_fract_z
Sr1 Sr 0.000 0.000 0.000
Co1 Co 0.500 0.500 0.500
Te1 Te 0.000 0.500 0.500
Te2 Te 0.500 0.000 0.500
I1 I 0.500 0.500 0.000
```

---

# 4
A plane-wave DFT calculation with PBE was carried out for a geometry-optimized Sr2CoTeI structure.

Calculated values
The crystal system is tetragonal. The space group is P4/mmm, No. 123. The calculation puts the volume at 176 Å³ per cell.

```
data_Sr2CoTeI
_chemical_formula_sum 'Sr2 Co1 Te1 I1'
_cell_length_a 6.239
_cell_length_b 6.239
_cell_length_c 4.529
_cell_angle_alpha 90.00
_cell_angle_beta 90.00
_cell_angle_gamma 90.00
_symmetry_space_group_name_H-M 'P 1'
_symmetry_Int_Tables_number 1
_symmetry_space_group_name_Hall 'P 1'
loop_
_atom_site_label
_atom_site_type_symbol
_atom_site_fract_x
_atom_site_fract_y
_atom_site_fract_z
Sr1 Sr 0.000 0.500 0.000
Sr2 Sr 0.500 0.000 0.000
Co1 Co 0.000 0.000 0.500
Te1 Te 0.500 0.500 0.500
I1 I 0.000 0.000 0.000
```

---

# 5
A plane-wave DFT calculation with PBE was carried out for a geometry-optimized SrCoTe2I structure.

Calculated values
The crystal system is tetragonal. The space group is P4/mmm, No. 123. The calculation puts the volume at 240 Å³ per cell.

```
data_SrCoTe2I
_chemical_formula_sum 'Sr1 Co1 Te2 I1'
_cell_length_a 6.234
_cell_length_b 6.234
_cell_length_c 6.179
_cell_angle_alpha 90.00
_cell_angle_beta 90.00
_cell_angle_gamma 90.00
_symmetry_space_group_name_H-M 'P 1'
_symmetry_Int_Tables_number 1
_symmetry_space_group_name_Hall 'P 1'
loop_
_atom_site_label
_atom_site_type_symbol
_atom_site_fract_x
_atom_site_fract_y
_atom_site_fract_z
Sr1 Sr 0.000 0.000 0.000
Co1 Co 0.500 0.500 0.500
Te1 Te 0.000 0.500 0.000
Te2 Te 0.500 0.000 0.000
I1 I 0.000 0.000 0.500
```

---

# 6
A plane-wave DFT calculation with PBE was carried out for a geometry-optimized TaCo3I structure.

Calculated values
The crystal system is cubic. The space group is Pm-3m, No. 221. The calculation puts the volume at 97 Å³ per cell.

```
data_TaCo3I
_chemical_formula_sum 'Ta1 Co3 I1'
_cell_length_a 4.591
_cell_length_b 4.591
_cell_length_c 4.591
_cell_angle_alpha 90.00
_cell_angle_beta 90.00
_cell_angle_gamma 90.00
_symmetry_space_group_name_H-M 'P 1'
_symmetry_Int_Tables_number 1
_symmetry_space_group_name_Hall 'P 1'
loop_
_atom_site_label
_atom_site_type_symbol
_atom_site_fract_x
_atom_site_fract_y
_atom_site_fract_z
Ta1 Ta 0.000 0.000 0.000
Co1 Co 0.000 0.000 0.500
Co2 Co 0.000 0.500 0.000
Co3 Co 0.500 0.000 0.000
I1 I 0.500 0.500 0.500
```

---

# 7
A plane-wave DFT calculation with PBE was carried out for a geometry-optimized TaCoI2 structure.

Calculated values
The crystal system is tetragonal. The space group is I-42d, No. 122. The calculation puts the volume at 212 Å³ per cell.

```
data_TaCoI2
_chemical_formula_sum 'Ta2 Co2 I4'
_cell_length_a 7.062
_cell_length_b 7.062
_cell_length_c 7.062
_cell_angle_alpha 128.10
_cell_angle_beta 128.10
_cell_angle_gamma 76.46
_symmetry_space_group_name_H-M 'P 1'
_symmetry_Int_Tables_number 1
_symmetry_space_group_name_Hall 'P 1'
loop_
_atom_site_label
_atom_site_type_symbol
_atom_site_fract_x
_atom_site_fract_y
_atom_site_fract_z
Ta1 Ta 0.000 0.000 0.000
Ta2 Ta 0.750 0.250 0.500
Co1 Co 0.250 0.750 0.500
Co2 Co 0.500 0.500 0.000
I1 I 0.161 0.625 0.036
I2 I 0.375 0.411 0.536
I3 I 0.589 0.125 0.964
I4 I 0.875 0.839 0.464
```

---

# 8
A plane-wave DFT calculation with PBE was carried out for a geometry-optimized Ta3CoI structure.

Calculated values
The crystal system is cubic. The space group is Pm-3m, No. 221. The calculation puts the volume at 103 Å³ per cell.

```
data_Ta3CoI
_chemical_formula_sum 'Ta3 Co1 I1'
_cell_length_a 4.683
_cell_length_b 4.683
_cell_length_c 4.683
_cell_angle_alpha 90.00
_cell_angle_beta 90.00
_cell_angle_gamma 90.00
_symmetry_space_group_name_H-M 'P 1'
_symmetry_Int_Tables_number 1
_symmetry_space_group_name_Hall 'P 1'
loop_
_atom_site_label
_atom_site_type_symbol
_atom_site_fract_x
_atom_site_fract_y
_atom_site_fract_z
Ta1 Ta 0.000 0.000 0.500
Ta2 Ta 0.000 0.500 0.000
Ta3 Ta 0.500 0.000 0.000
Co1 Co 0.000 0.000 0.000
I1 I 0.500 0.500 0.500
```

---

# 9
A plane-wave DFT calculation with PBE was carried out for a geometry-optimized TaCoI3 structure.

Calculated values
The crystal system is cubic. The space group is Pm-3m, No. 221. The calculation puts the volume at 135 Å³ per cell.

```
data_TaCoI3
_chemical_formula_sum 'Ta1 Co1 I3'
_cell_length_a 5.134
_cell_length_b 5.134
_cell_length_c 5.134
_cell_angle_alpha 90.00
_cell_angle_beta 90.00
_cell_angle_gamma 90.00
_symmetry_space_group_name_H-M 'P 1'
_symmetry_Int_Tables_number 1
_symmetry_space_group_name_Hall 'P 1'
loop_
_atom_site_label
_atom_site_type_symbol
_atom_site_fract_x
_atom_site_fract_y
_atom_site_fract_z
Ta1 Ta 0.000 0.000 0.000
Co1 Co 0.500 0.500 0.500
I1 I 0.000 0.500 0.500
I2 I 0.500 0.000 0.500
I3 I 0.500 0.500 0.000
```

---

# 10
A plane-wave DFT calculation with PBE was carried out for a geometry-optimized Ta2CoI structure.

Calculated values
The crystal system is cubic. The space group is Fm-3m, No. 225. The calculation puts the volume at 69 Å³ per cell.

```
data_Ta2CoI
_chemical_formula_sum 'Ta2 Co1 I1'
_cell_length_a 4.608
_cell_length_b 4.608
_cell_length_c 4.608
_cell_angle_alpha 60.00
_cell_angle_beta 60.00
_cell_angle_gamma 60.00
_symmetry_space_group_name_H-M 'P 1'
_symmetry_Int_Tables_number 1
_symmetry_space_group_name_Hall 'P 1'
loop_
_atom_site_label
_atom_site_type_symbol
_atom_site_fract_x
_atom_site_fract_y
_atom_site_fract_z
Ta1 Ta 0.250 0.250 0.250
Ta2 Ta 0.750 0.750 0.750
Co1 Co 0.000 0.000 0.000
I1 I 0.500 0.500 0.500
```

---

# 11
A plane-wave DFT calculation with PBE was carried out for a geometry-optimized Ta2CoI structure.

Calculated values
The crystal system is tetragonal. The space group is I-42d, No. 122. The calculation puts the volume at 198 Å³ per cell.

```
data_Ta2CoI
_chemical_formula_sum 'Ta4 Co2 I2'
_cell_length_a 7.321
_cell_length_b 7.321
_cell_length_c 7.321
_cell_angle_alpha 134.34
_cell_angle_beta 134.34
_cell_angle_gamma 66.56
_symmetry_space_group_name_H-M 'P 1'
_symmetry_Int_Tables_number 1
_symmetry_space_group_name_Hall 'P 1'
loop_
_atom_site_label
_atom_site_type_symbol
_atom_site_fract_x
_atom_site_fract_y
_atom_site_fract_z
Ta1 Ta 0.042 0.625 0.917
Ta2 Ta 0.375 0.292 0.417
Ta3 Ta 0.708 0.125 0.083
Ta4 Ta 0.875 0.958 0.583
Co1 Co 0.000 0.000 0.000
Co2 Co 0.750 0.250 0.500
I1 I 0.250 0.750 0.500
I2 I 0.500 0.500 0.000
```

---

# 12
A plane-wave DFT calculation with PBE was carried out for a geometry-optimized TaCoI2 structure.

Calculated values
The crystal system is cubic. The space group is Fm-3m, No. 225. The calculation puts the volume at 80 Å³ per cell.

```
data_TaCoI2
_chemical_formula_sum 'Ta1 Co1 I2'
_cell_length_a 4.830
_cell_length_b 4.830
_cell_length_c 4.830
_cell_angle_alpha 60.00
_cell_angle_beta 60.00
_cell_angle_gamma 60.00
_symmetry_space_group_name_H-M 'P 1'
_symmetry_Int_Tables_number 1
_symmetry_space_group_name_Hall 'P 1'
loop_
_atom_site_label
_atom_site_type_symbol
_atom_site_fract_x
_atom_site_fract_y
_atom_site_fract_z
Ta1 Ta 0.000 0.000 0.000
Co1 Co 0.500 0.500 0.500
I1 I 0.250 0.250 0.250
I2 I 0.750 0.750 0.750
```

---

Calculated total magnetization (μB per formula unit), listed in the same order as above: 1.28 0.00 1.54 0.08 3.19 1.12 0.59 0.00 2.44 0.33 0.00 1.58
Calculated energy relative to the elements, uncorrected (eV/atom), listed in the same order as above: -0.39 0.61 -0.44 -0.30 0.64 1.47 0.97 1.01 1.10 0.78 1.05 0.94